Record 1
Here is a relaxed structure of MgBe4P from Alexandria. Energies are from PBE.

abc: 4.5460 4.5460 4.5460
angles: 60.00 60.00 60.00
Last column: nearest neighbours and their distance in Å.
Atoms (fractional coordinates):
Mg: 0.0000 0.0000 0.0000  12 Be 2.66, 4 P 2.78
Be: 0.3732 0.3732 0.3732  6 Be 2.24-2.31
Be: 0.3732 0.3732 0.8805  6 Be 2.24-2.31
Be: 0.3732 0.8805 0.3732  6 Be 2.24-2.31
Be: 0.8805 0.3732 0.3732  6 Be 2.24-2.31
P: 0.7500 0.7500 0.7500  12 Be 2.67, 4 Mg 2.78

Properties
Formation energy: 0.30 eV per atom
Total magnetization: 0.00 μB/cell

***

Record 2
Here is a relaxed structure of MgBeP2 from Alexandria. Energies are from PBE.

abc: 5.2859 5.2859 5.2859
angles: 140.84 140.84 56.57
Last column: nearest neighbours and their distance in Å.
Atoms (fractional coordinates):
Mg: 0.0000 0.0000 0.0000  4 P 2.50
Be: 0.7500 0.2500 0.5000  4 P 2.50
P: 0.2500 0.7500 0.5000  4 Be 2.50
P: 0.5000 0.5000 0.0000  4 Mg 2.50

Properties
Energy relative to the lowest polymorph listed for this composition: 0.432 eV/atom
Formation energy: 0.23 eV per atom
Total magnetization: 0.00 μB/cell

***

Record 3
Here is a relaxed structure of Mg2BeP from Alexandria. Energies are from PBE.

abc: 4.1634 4.1634 3.6555
angles: 90.00 90.00 93.12
Last column: nearest neighbours and their distance in Å.
Atoms (fractional coordinates):
Mg: 0.0000 0.5000 0.0000  4 Be 2.77, 4 P 2.77, 4 Mg 2.86-3.02
Mg: 0.5000 0.0000 0.0000  4 Be 2.77, 4 P 2.77, 4 Mg 2.86-3.02
Be: 0.0000 0.0000 0.5000  8 Mg 2.77, 4 P 2.86-3.02
P: 0.5000 0.5000 0.5000  8 Mg 2.77, 4 Be 2.86-3.02

Properties
Energy relative to the lowest polymorph listed for this composition: 0.328 eV/atom
Formation energy: 0.08 eV per atom
Total magnetization: 0.00 μB/cell

***

Record 4
Here is a relaxed structure of Mg2BeP from Alexandria. Energies are from PBE.

abc: 3.5780 3.5780 6.7900
angles: 106.70 106.70 59.97
Last column: nearest neighbours and their distance in Å.
Atoms (fractional coordinates):
Mg: 0.0000 0.0000 0.0000  3 Be 2.85-2.94, 3 P 2.88-2.96, 3 Mg 3.10-3.16
Mg: 0.2112 0.2112 0.6352  3 P 2.85-2.89, 3 Be 2.89-2.93, 3 Mg 3.10-3.16
Be: 0.7668 0.7668 0.3132  3 P 2.07
P: 0.4382 0.4382 0.3252  3 Be 2.07

Properties
Energy relative to the lowest polymorph listed for this composition: 0.044 eV/atom
Formation energy: -0.20 eV per atom
Total magnetization: 0.00 μB/cell

***

Q: Number 2 is which compound?
A: MgBeP2

***

Q: The highest formation energy belongs to which entry?
A: MgBe4P

***

Q: What is the total magnetization in the fourth record?
A: 0.00 μB/cell